Compound: CaLaBe2Au
Source: the Alexandria database
Functional: PBE
Structure: relaxed

Properties
- Energy of formation: 83.9 kJ per mole of atoms
- D(E_F): 0.937 states/eV/atom

a = 5.1937 Å, b = 5.1937 Å, c = 5.5427 Å
α = 90.00°, β = 90.00°, γ = 90.00°
Fractional positions:
Ca 0.0000 0.0000 0.0000
La 0.5000 0.5000 0.5000
Be 0.0000 0.5000 0.5000
Be 0.5000 0.0000 0.5000
Au 0.5000 0.5000 0.0000



Compound: Cd2Pd5PtAu
Source: the Alexandria database
Functional: PBE
Structure: relaxed

Properties
- Energy of formation: 17.8 kJ per mole of atoms
- D(E_F): 0.868 states/eV/atom

a = 8.7317 Å, b = 8.7317 Å, c = 8.7317 Å
α = 134.53°, β = 134.53°, γ = 66.27°
Fractional positions:
Cd 0.1346 0.6346 0.7692
Cd 0.3654 0.1346 0.5000
Cd 0.6346 0.8654 0.5000
Cd 0.8654 0.3654 0.2308
Pd 0.0000 0.0000 0.0000
Pd 0.0808 0.1109 0.5000
Pd 0.1109 0.6109 0.0301
Pd 0.3891 0.4192 0.5000
Pd 0.4192 0.9192 0.0301
Pd 0.5000 0.5000 0.0000
Pd 0.5808 0.0808 0.9699
Pd 0.6109 0.5808 0.5000
Pd 0.8891 0.3891 0.9699
Pd 0.9192 0.8891 0.5000
Pt 0.2500 0.2500 0.0000
Pt 0.7500 0.7500 0.0000
Au 0.2500 0.7500 0.5000
Au 0.7500 0.2500 0.5000



Compound: Hg2IrN
Source: the Alexandria database
Functional: PBE
Structure: relaxed

Properties
- Energy relative to the elements, uncorrected: 1.38 eV per atom
- D(E_F): 0.663 states/eV/atom

a = 5.6822 Å, b = 5.6822 Å, c = 5.6822 Å
α = 102.26°, β = 102.26°, γ = 125.13°
Fractional positions:
Hg 0.0703 0.6250 0.9453
Hg 0.3750 0.3203 0.4453
Hg 0.6797 0.1250 0.0547
Hg 0.8750 0.9297 0.5547
Ir 0.2500 0.7500 0.5000
Ir 0.5000 0.5000 0.0000
N 0.0000 0.0000 0.0000
N 0.7500 0.2500 0.5000



Compound: Sr4BeAg
Source: the Alexandria database
Functional: PBE
Structure: relaxed

Properties
- Energy of formation: 84.8 kJ per mole of atoms
- D(E_F): 1.442 states/eV/atom

a = 7.1363 Å, b = 7.1363 Å, c = 7.1363 Å
α = 60.00°, β = 60.00°, γ = 60.00°
Fractional positions:
Sr 0.1252 0.1252 0.1252
Sr 0.1252 0.1252 0.6244
Sr 0.1252 0.6244 0.1252
Sr 0.6244 0.1252 0.1252
Be 0.5000 0.5000 0.5000
Ag 0.7500 0.7500 0.7500



Compound: Ho2InHg2
Source: the Alexandria database
Functional: PBE
Structure: relaxed

Properties
- Energy of formation: -41.6 kJ per mole of atoms
- D(E_F): 0.653 states/eV/atom

a = 8.0985 Å, b = 8.0985 Å, c = 3.8938 Å
α = 90.00°, β = 90.00°, γ = 90.00°
Fractional positions:
Ho 0.1708 0.3292 0.0000
Ho 0.3292 0.8292 0.0000
Ho 0.6708 0.1708 0.0000
Ho 0.8292 0.6708 0.0000
In 0.0000 0.0000 0.5000
In 0.5000 0.5000 0.5000
Hg 0.1295 0.6295 0.5000
Hg 0.3705 0.1295 0.5000
Hg 0.6295 0.8705 0.5000
Hg 0.8705 0.3705 0.5000



no.,magnetization (μB/f.u.)
1,0.00
2,0.00
3,0.00
4,0.00
5,0.00